Crystalline TmTaN2O at its relaxed geometry. Source: OQMD, functional PBE.

Structure (CIF):
```
data_TmTaN2O
_space_group_name_H-M_alt 'P 1'
_space_group_IT_number 1
_cell_length_a 5.4004
_cell_length_b 5.4732
_cell_length_c 5.8399
_cell_angle_alpha 91.63
_cell_angle_beta 116.52
_cell_angle_gamma 119.16
loop_
_space_group_symop_operation_xyz
'x,y,z'
loop_
_atom_site_label
_atom_site_type_symbol
_atom_site_fract_x
_atom_site_fract_y
_atom_site_fract_z
Tm1 Tm 0.0000 0.0000 0.0000
Tm2 Tm 0.4478 0.7212 0.1770
Ta1 Ta 0.0466 0.5447 0.5285
Ta2 Ta 0.4515 0.2248 0.6494
N1 N 0.2118 0.3877 0.3598
N2 N 0.4946 0.9158 0.8163
N3 N 0.9117 0.5616 0.8269
N4 N 0.9539 0.7911 0.3328
O1 O 0.2768 0.3226 0.8451
O2 O 0.5662 0.1479 0.3560
```

Crystalline TmReAsO at its relaxed geometry. Source: OQMD, functional PBE.

Structure (CIF):
```
data_TmReAsO
_space_group_name_H-M_alt 'P m c 21'
_space_group_IT_number 26
_cell_length_a 4.1994
_cell_length_b 5.9992
_cell_length_c 5.4931
_cell_angle_alpha 90.00
_cell_angle_beta 90.00
_cell_angle_gamma 90.00
loop_
_space_group_symop_operation_xyz
'x,y,z'
'-x,-y,z+1/2'
'-x,y,z'
'x,-y,z+1/2'
loop_
_atom_site_label
_atom_site_type_symbol
_atom_site_fract_x
_atom_site_fract_y
_atom_site_fract_z
Tm1 Tm 0.0000 0.1937 0.0000
Re1 Re 0.5000 0.4886 0.7714
As1 As 0.0000 0.3069 0.5081
O1 O 0.5000 0.2234 0.0442
```

What total DFT energy (no corrections) values result from the calculations? In sequence: -9.525; -7.698 eV/atom.